# NiHgO3, relaxed, DFT PBE with a Hubbard U
data_NiHgO3
_space_group_name_H-M_alt 'P m -3 m'
_space_group_IT_number 221
_space_group_name_Hall '-P 4 2 3'
_cell_length_a 4.0896
_cell_length_b 4.0896
_cell_length_c 4.0896
_cell_angle_alpha 90.00
_cell_angle_beta 90.00
_cell_angle_gamma 90.00
loop_
_atom_site_label
_atom_site_fract_x
_atom_site_fract_y
_atom_site_fract_z
_atom_site_occupancy
Ni1 0.0000 0.0000 0.0000 1
Hg1 0.5000 0.5000 0.5000 1
O1 0.0000 0.5000 0.5000 1
# * E_tot: -2.582 eV/atom